DFT (GGA+U) results for an optimized crystal structure of PuCrO4.

abc: 6.944 6.944 6.336
angles: 90.00 90.00 90.00
Space group I4_1md (No. 109)
Unique sites:
Pu (0.000, 0.000, 0.000) [4 per cell]
Cr (0.000, 0.000, 0.495) [4 per cell]
O (0.000, 0.304, 0.503) [8 per cell]
O (0.000, 0.315, 0.988) [8 per cell]

Results
**Fermi-level density of states**: 3.4 states/eV per cell
**V**: 12.7 Å³ per atom
**E**: -9.36 eV per atom

=====

DFT (GGA+U) results for an optimized crystal structure of Rb3Pu3CrO8.

abc: 11.934 7.022 7.697
angles: 90.00 121.27 90.00
Space group C2/m (No. 12)
Unique sites:
Rb (0.000, 0.000, 0.000) [2 per cell]
Rb (0.250, 0.250, 0.000) [4 per cell]
Pu (0.000, 0.500, 0.500) [2 per cell]
Pu (0.250, 0.250, 0.500) [4 per cell]
Cr (0.000, 0.000, 0.500) [2 per cell]
O (0.031, 0.261, 0.332) [8 per cell]
O (0.208, 0.000, 0.654) [4 per cell]
O (0.227, 0.500, 0.679) [4 per cell]

Results
**Fermi-level density of states**: 25.0 states/eV per cell
**V**: 18.4 Å³ per atom
**E**: -8.52 eV per atom

=====

DFT (GGA+U) results for an optimized crystal structure of Rb2PuCrO6.

abc: 8.251 8.251 8.251
angles: 90.00 90.00 90.00
Space group Fm-3m (No. 225)
Unique sites:
Rb (0.250, 0.250, 0.250) [8 per cell]
Pu (0.000, 0.000, 0.000) [4 per cell]
Cr (0.000, 0.000, 0.500) [4 per cell]
O (0.000, 0.000, 0.248) [24 per cell]

Results
**V**: 14.0 Å³ per atom
**E**: -7.38 eV per atom

=====

DFT (GGA+U) results for an optimized crystal structure of RbPuCr2O8.

abc: 9.305 5.854 8.410
angles: 90.00 94.60 90.00
Space group C2/m (No. 12)
Unique sites:
Rb (0.000, 0.000, 0.000) [2 per cell]
Pu (0.000, 0.000, 0.500) [2 per cell]
Cr (0.132, 0.500, 0.283) [4 per cell]
O (0.032, 0.256, 0.317) [8 per cell]
O (0.188, 0.500, 0.105) [4 per cell]
O (0.218, 0.000, 0.573) [4 per cell]

Results
**Fermi-level density of states**: 10.0 states/eV per cell
**V**: 19.0 Å³ per atom
**E**: -7.66 eV per atom

=====

DFT (GGA+U) results for an optimized crystal structure of RbPuCrO6.

abc: 5.430 9.036 6.398
angles: 90.00 91.11 90.00
Space group C2 (No. 5)
Unique sites:
Rb (0.000, 0.000, 0.000) [2 per cell]
Pu (0.000, 0.335, 0.500) [2 per cell]
Cr (0.000, 0.679, 0.500) [2 per cell]
O (0.124, 0.502, 0.668) [4 per cell]
O (0.173, 0.806, 0.673) [4 per cell]
O (0.188, 0.188, 0.665) [4 per cell]

Results
**Fermi-level density of states**: 1.1 states/eV per cell
**V**: 17.4 Å³ per atom
**E**: -7.83 eV per atom

=====

DFT (GGA+U) results for an optimized crystal structure of RbPu2CrO8.

abc: 5.9265 5.9265 7.5141
angles: 90.00 90.00 120.00
Space group P-3m1 (No. 164)
Unique sites:
Rb (0.0000, 0.0000, 0.0000) [1 per cell]
Pu (0.3333, 0.6667, 0.2366) [2 per cell]
Cr (0.0000, 0.0000, 0.5000) [1 per cell]
O (0.1561, 0.3123, 0.3465) [6 per cell]
O (0.3333, 0.6667, 0.9839) [2 per cell]

Results
**Fermi-level density of states**: 14.2 states/eV per cell
**V**: 19.0 Å³ per atom
**E**: -8.30 eV per atom

=====

DFT (GGA+U) results for an optimized crystal structure of PuCrRuO6.

abc: 5.2371 5.2371 8.7518
angles: 90.00 90.00 120.00
Space group P-31c (No. 163)
Unique sites:
Pu (0.3333, 0.6667, 0.2500) [2 per cell]
Cr (0.3333, 0.6667, 0.7500) [2 per cell]
Ru (0.0000, 0.0000, 0.0000) [2 per cell]
O (0.0145, 0.3346, 0.6264) [12 per cell]

Results
**Fermi-level density of states**: 11.4 states/eV per cell
**V**: 11.5 Å³ per atom
**E**: -8.58 eV per atom

=====

DFT (GGA+U) results for an optimized crystal structure of PuCrSbO6.

abc: 5.3595 5.3595 9.6261
angles: 90.00 90.00 120.00
Space group P-31c (No. 163)
Unique sites:
Pu (0.3333, 0.6667, 0.2500) [2 per cell]
Cr (0.3333, 0.6667, 0.7500) [2 per cell]
Sb (0.0000, 0.0000, 0.0000) [2 per cell]
O (0.0090, 0.3555, 0.6357) [12 per cell]

Results
**Fermi-level density of states**: 14.1 states/eV per cell
**V**: 13.3 Å³ per atom
**E**: -8.14 eV per atom